No. 1
DFT (PBE) results for CaTl2GeS4 after structural relaxation.

```
16
Lattice="-3.998 4.171 5.722 3.998 -4.171 5.722 3.998 4.171 -5.722" Properties=species:S:1:pos:R:3 pbc="T T T"
Ca 0.000 0.000 0.000
Ca 0.000 4.171 0.000
Tl 3.998 0.000 0.000
Tl -1.999 2.086 2.861
Tl 0.000 0.000 5.722
Tl 1.999 2.086 2.861
Ge 1.999 2.086 -2.861
Ge 1.999 -2.086 2.861
S 3.998 3.827 -2.924
S 3.998 -0.344 2.924
S 1.887 2.086 -0.289
S 2.111 -2.086 5.433
S 1.887 6.257 0.289
S 2.111 2.086 6.011
S 0.000 4.515 2.798
S 0.000 0.344 8.646
```

formation energy from raw total energies	-0.62	eV/atom
space-group type	No. 74

***

No. 2
DFT (PBE) results for Ca2TlGeS after structural relaxation.

```
5
Lattice="5.224 0.000 0.000 0.000 5.224 0.000 0.000 0.000 5.681" Properties=species:S:1:pos:R:3 pbc="T T T"
Ca 0.000 2.612 0.000
Ca 2.612 0.000 0.000
Tl 0.000 0.000 2.840
Ge 2.612 2.612 2.840
S 0.000 0.000 0.000
```

formation energy from raw total energies	-0.51	eV/atom
space-group type	No. 123

***

No. 3
DFT (PBE) results for CaGeSb2 after structural relaxation.

```
4
Lattice="2.024 1.169 7.963 -2.024 1.169 7.963 0.000 -2.338 7.963" Properties=species:S:1:pos:R:3 pbc="T T T"
Ca 0.000 0.000 0.000
Ge 0.000 0.000 11.945
Sb 0.000 0.000 5.672
Sb 0.000 0.000 18.217
```

formation energy from raw total energies	-0.23	eV/atom
space-group type	No. 166

***

No. 4
DFT (PBE) results for CaGeSb after structural relaxation.

```
6
Lattice="-2.133 2.133 9.382 2.133 -2.133 9.382 2.133 2.133 -9.382" Properties=species:S:1:pos:R:3 pbc="T T T"
Ca 0.000 0.000 2.089
Ca 0.000 0.000 16.676
Ge 0.000 0.000 8.041
Ge 0.000 0.000 10.724
Sb 0.000 0.000 5.336
Sb 0.000 0.000 13.428
```

E above lowest polymorph	10.70	kJ/mol of atoms
formation energy from raw total energies	-0.27	eV/atom
space-group type	No. 139

***

No. 5
DFT (PBE) results for CaGeSb after structural relaxation.

```
3
Lattice="4.813 0.000 0.000 -2.407 4.168 0.000 0.000 0.000 4.155" Properties=species:S:1:pos:R:3 pbc="T T T"
Ca 0.000 0.000 0.000
Ge 0.000 2.779 2.078
Sb 2.407 1.389 2.078
```

E above lowest polymorph	0.00	kJ/mol of atoms
formation energy from raw total energies	-0.38	eV/atom
space-group type	No. 187

***

No. 6
DFT (PBE) results for Ca3GeSb3 after structural relaxation.

```
28
Lattice="9.912 -3.353 0.000 9.912 3.353 0.000 0.000 0.000 13.096" Properties=species:S:1:pos:R:3 pbc="T T T"
Ca 6.473 2.046 1.665
Ca 6.473 1.306 8.213
Ca 9.912 1.989 11.317
Ca 9.912 1.364 4.769
Ca 13.352 2.046 1.665
Ca 13.352 1.306 8.213
Ca 6.473 -1.306 4.883
Ca 6.473 -2.046 11.431
Ca 9.912 -1.364 8.327
Ca 9.912 -1.989 1.779
Ca 13.352 -1.306 4.883
Ca 13.352 -2.046 11.431
Ge 1.734 0.000 6.548
Ge 8.178 0.000 0.000
Ge 11.646 0.000 0.000
Ge 18.090 0.000 6.548
Sb 6.629 1.887 4.873
Sb 6.629 1.466 11.421
Sb 9.912 1.804 8.158
Sb 9.912 1.549 1.610
Sb 13.195 1.887 4.873
Sb 13.195 1.466 11.421
Sb 6.629 -1.466 1.675
Sb 6.629 -1.887 8.223
Sb 9.912 -1.549 11.486
Sb 9.912 -1.804 4.938
Sb 13.195 -1.466 1.675
Sb 13.195 -1.887 8.223
```

formation energy from raw total energies	-0.69	eV/atom
space-group type	No. 64

***

No. 7
DFT (PBE) results for Ca5Ge2Sb after structural relaxation.

```
16
Lattice="-3.925 3.925 7.396 3.925 -3.925 7.396 3.925 3.925 -7.396" Properties=species:S:1:pos:R:3 pbc="T T T"
Ca 0.000 0.000 0.000
Ca 5.252 1.327 -2.071
Ca 1.327 2.598 -2.071
Ca 5.252 1.327 2.071
Ca 1.327 2.598 2.071
Ca 0.000 0.000 7.396
Ca 2.598 1.327 5.324
Ca -1.327 2.598 5.324
Ca 2.598 1.327 9.467
Ca -1.327 2.598 9.467
Ge 2.977 0.948 0.000
Ge 2.977 -0.948 7.396
Ge 0.948 4.873 0.000
Ge 0.948 2.977 7.396
Sb 0.000 0.000 3.698
Sb 0.000 0.000 11.093
```

formation energy from raw total energies	-0.77	eV/atom
space-group type	No. 140

***

No. 8
DFT (PBE) results for Ca2GeSb3 after structural relaxation.

```
6
Lattice="-1.806 3.171 7.620 1.806 -3.171 7.620 1.806 3.171 -7.620" Properties=species:S:1:pos:R:3 pbc="T T T"
Ca 0.000 0.000 2.623
Ca 0.000 0.000 12.617
Ge 0.000 0.000 7.620
Sb 1.806 0.000 0.000
Sb 1.806 0.000 5.348
Sb 0.000 3.171 2.272
```

formation energy from raw total energies	-0.38	eV/atom
space-group type	No. 71

***

No. 9
DFT (PBE) results for CaGeSb2 after structural relaxation.

```
4
Lattice="4.742 0.000 0.000 0.000 4.742 0.000 0.000 0.000 4.561" Properties=species:S:1:pos:R:3 pbc="T T T"
Ca 0.000 0.000 0.000
Ge 2.371 2.371 0.000
Sb 0.000 2.371 2.281
Sb 2.371 0.000 2.281
```

formation energy from raw total energies	-0.31	eV/atom
space-group type	No. 123

***

No. 10
DFT (PBE) results for CaGeSb2 after structural relaxation.

```
8
Lattice="-3.747 3.747 4.706 3.747 -3.747 4.706 3.747 3.747 -4.706" Properties=species:S:1:pos:R:3 pbc="T T T"
Ca 0.000 0.000 0.000
Ca 0.000 3.747 2.353
Ge 3.747 0.000 2.353
Ge 0.000 0.000 4.706
Sb 1.873 -1.446 3.529
Sb 2.301 1.873 1.176
Sb 1.873 5.193 -1.176
Sb 1.446 1.873 5.882
```

formation energy from raw total energies	-0.26	eV/atom
space-group type	No. 122

***

No. 11
DFT (PBE) results for Ca2Ge2Sb after structural relaxation.

```
10
Lattice="7.578 0.000 0.000 0.000 7.578 0.000 0.000 0.000 4.407" Properties=species:S:1:pos:R:3 pbc="T T T"
Ca 1.348 2.441 0.000
Ca 2.441 6.230 0.000
Ca 5.136 1.348 0.000
Ca 6.230 5.136 0.000
Ge 0.899 4.688 2.203
Ge 2.890 0.899 2.203
Ge 4.688 6.679 2.203
Ge 6.679 2.890 2.203
Sb 0.000 0.000 2.203
Sb 3.789 3.789 2.203
```

formation energy from raw total energies	-0.60	eV/atom
space-group type	No. 127

***

No. 12
DFT (PBE) results for Ca3GeSb after structural relaxation.

```
10
Lattice="8.337 -2.121 0.000 8.337 2.121 0.000 -0.735 0.000 8.660" Properties=species:S:1:pos:R:3 pbc="T T T"
Ca 0.665 0.000 1.579
Ca 3.423 0.000 7.019
Ca 6.269 0.000 3.695
Ca 9.669 0.000 4.965
Ca 12.514 0.000 1.641
Ca 15.272 0.000 7.081
Ge 3.109 0.000 3.826
Ge 12.829 0.000 4.835
Sb 6.463 0.000 0.592
Sb 9.475 0.000 8.068
```

E above lowest polymorph	0.00	kJ/mol of atoms
formation energy from raw total energies	-0.70	eV/atom
space-group type	No. 12

***

No. 13
DFT (PBE) results for Ca3GeSb after structural relaxation.

```
5
Lattice="5.545 0.000 0.000 0.000 5.545 0.000 0.000 0.000 5.545" Properties=species:S:1:pos:R:3 pbc="T T T"
Ca 0.000 0.000 2.772
Ca 0.000 2.772 0.000
Ca 2.772 0.000 0.000
Ge 0.000 0.000 0.000
Sb 2.772 2.772 2.772
```

E above lowest polymorph	19.80	kJ/mol of atoms
formation energy from raw total energies	-0.49	eV/atom
space-group type	No. 221

***

No. 14
DFT (PBE) results for Ca2GeSb2 after structural relaxation.

```
10
Lattice="7.895 0.000 0.000 0.000 7.895 0.000 0.000 0.000 4.531" Properties=species:S:1:pos:R:3 pbc="T T T"
Ca 1.355 2.593 0.000
Ca 2.593 6.541 0.000
Ca 5.302 1.355 0.000
Ca 6.541 5.302 0.000
Ge 0.000 0.000 2.266
Ge 3.948 3.948 2.266
Sb 1.064 5.012 2.266
Sb 2.884 1.064 2.266
Sb 5.012 6.831 2.266
Sb 6.831 2.884 2.266
```

formation energy from raw total energies	-0.57	eV/atom
space-group type	No. 127

***

No. 15
DFT (PBE) results for Ca5Ge2Sb6 after structural relaxation.

```
26
Lattice="12.037 0.000 0.000 0.000 14.810 0.000 0.000 0.000 4.422" Properties=species:S:1:pos:R:3 pbc="T T T"
Ca 0.000 0.000 0.000
Ca 0.879 3.704 0.000
Ca 2.044 7.655 0.000
Ca 3.974 0.250 0.000
Ca 5.140 11.109 0.000
Ca 6.018 7.405 0.000
Ca 6.897 3.701 0.000
Ca 8.063 14.560 0.000
Ca 9.993 7.155 0.000
Ca 11.158 11.106 0.000
Ge 2.105 10.724 2.211
Ge 3.914 3.319 2.211
Ge 8.123 11.491 2.211
Ge 9.932 4.086 2.211
Sb 0.006 5.898 2.211
Sb 12.031 8.912 2.211
Sb 1.818 1.519 2.211
Sb 2.175 12.401 0.000
Sb 3.843 4.995 0.000
Sb 4.200 8.924 2.211
Sb 6.024 1.507 2.211
Sb 6.012 13.303 2.211
Sb 7.837 5.886 2.211
Sb 8.194 9.815 0.000
Sb 9.862 2.410 0.000
Sb 10.219 13.291 2.211
```

formation energy from raw total energies	-0.66	eV/atom
space-group type	No. 55

***

No. 16
DFT (PBE) results for CaGeSbTe2 after structural relaxation.

```
5
Lattice="5.750 0.000 0.000 0.000 5.750 0.000 0.000 0.000 5.732" Properties=species:S:1:pos:R:3 pbc="T T T"
Ca 0.000 0.000 0.000
Ge 2.875 2.875 2.866
Sb 0.000 0.000 2.866
Te 0.000 2.875 0.000
Te 2.875 0.000 0.000
```

E above lowest polymorph	55.08	kJ/mol of atoms
formation energy from raw total energies	0.49	eV/atom
space-group type	No. 123

***

No. 17
DFT (PBE) results for CaGeSbTe2 after structural relaxation.

```
5
Lattice="5.489 0.000 0.000 0.000 5.489 0.000 0.000 0.000 5.383" Properties=species:S:1:pos:R:3 pbc="T T T"
Ca 0.000 0.000 0.000
Ge 2.745 2.745 2.691
Sb 2.745 2.745 0.000
Te 0.000 2.745 2.691
Te 2.745 0.000 2.691
```

E above lowest polymorph	0.00	kJ/mol of atoms
formation energy from raw total energies	-0.08	eV/atom
space-group type	No. 123

***

No. 18
DFT (PBE) results for CaScGe2 after structural relaxation.

```
4
Lattice="1.777 1.026 8.411 -1.777 1.026 8.411 0.000 -2.051 8.411" Properties=species:S:1:pos:R:3 pbc="T T T"
Ca 0.000 0.000 0.000
Sc 0.000 0.000 12.617
Ge 0.000 0.000 6.182
Ge 0.000 0.000 19.051
```

ΔH_f (0 K)	-435.5	meV per atom
space-group type	No. 166

***

No. 19
DFT (PBE) results for CaScGe2 after structural relaxation.

```
4
Lattice="3.638 0.000 0.000 0.000 3.638 0.000 0.000 0.000 6.596" Properties=species:S:1:pos:R:3 pbc="T T T"
Ca 0.000 0.000 0.000
Sc 0.000 0.000 3.298
Ge 1.819 1.819 1.958
Ge 1.819 1.819 4.638
```

ΔH_f (0 K)	-580.3	meV per atom
space-group type	No. 123

***

No. 20
DFT (PBE) results for CaSc4Ge4 after structural relaxation.

```
18
Lattice="9.005 0.000 0.000 0.000 9.005 0.000 0.000 0.000 5.433" Properties=species:S:1:pos:R:3 pbc="T T T"
Ca 2.251 2.251 1.358
Ca 6.754 6.754 4.075
Sc 1.017 5.688 0.742
Sc 1.186 7.989 3.458
Sc 3.317 5.519 3.458
Sc 3.486 7.820 0.742
Sc 5.519 1.186 4.691
Sc 5.688 3.486 1.975
Sc 7.820 1.017 1.975
Sc 7.989 3.317 4.691
Ge 0.561 5.283 3.551
Ge 0.780 8.444 0.835
Ge 3.722 5.064 0.835
Ge 3.941 8.225 3.551
Ge 5.064 0.780 1.882
Ge 5.283 3.941 4.598
Ge 8.225 0.561 4.598
Ge 8.444 3.722 1.882
```

ΔH_f (0 K)	-623.2	meV per atom
space-group type	No. 86